Entry 1:
This record from the Alexandria database describes CeTmTlTc after structural relaxation. The functional is GGA-PBE.

Results
size of the total moment: 0.00 μB per formula unit
VASP energy: -24.01 eV per formula unit
DFT formation energy: -0.22 eV per atom
Fermi-level density of states: 4.3 states/eV/cell

a b c (Å): 3.403 3.403 8.360
angles (deg): 90.00 90.00 90.00
Atoms (fractional coordinates):
Ce: 0.500 0.500 0.374
Tm: 0.500 0.500 0.776
Tl: 0.000 0.000 0.065
Tc: 0.000 0.000 0.570


Entry 2:
This record from the Alexandria database describes CeTmTlTc after structural relaxation. The functional is GGA-PBE.

Results
size of the total moment: 0.00 μB per formula unit
VASP energy: -23.24 eV per formula unit
DFT formation energy: -0.02 eV per atom
Fermi-level density of states: 3.9 states/eV/cell

a b c (Å): 5.109 5.109 5.109
angles (deg): 60.00 60.00 60.00
Atoms (fractional coordinates):
Tl: 0.000 0.000 0.000
Tm: 0.750 0.750 0.750
Tc: 0.500 0.500 0.500
Ce: 0.250 0.250 0.250


Entry 3:
This record from the Alexandria database describes Ce2TmTc after structural relaxation. The functional is GGA-PBE.

Results
size of the total moment: 1.12 μB per formula unit
VASP energy: -25.64 eV per formula unit
DFT formation energy: 0.27 eV per atom
Fermi-level density of states: 8.6 states/eV/cell

a b c (Å): 3.295 3.295 10.800
angles (deg): 81.23 81.23 60.00
Atoms (fractional coordinates):
Tm: 0.000 0.000 0.000
Tc: 0.500 0.500 0.500
Ce: 0.099 0.099 0.702
Ce: 0.901 0.901 0.298


Entry 4:
This record from the Alexandria database describes Ce2TmTc after structural relaxation. The functional is GGA-PBE.

Results
size of the total moment: 1.08 μB per formula unit
VASP energy: -26.49 eV per formula unit
DFT formation energy: 0.05 eV per atom
Fermi-level density of states: 9.7 states/eV/cell

a b c (Å): 3.437 3.437 8.506
angles (deg): 90.00 90.00 90.00
Atoms (fractional coordinates):
Tm: 0.500 0.500 0.500
Tc: 0.500 0.500 0.000
Ce: 0.000 0.000 0.796
Ce: 0.000 0.000 0.204


Entry 5:
This record from the Alexandria database describes Ce3TmTc after structural relaxation. The functional is GGA-PBE.

Results
size of the total moment: 1.66 μB per formula unit
VASP energy: -31.96 eV per formula unit
DFT formation energy: 0.14 eV per atom
Fermi-level density of states: 14.9 states/eV/cell

a b c (Å): 5.351 5.351 5.351
angles (deg): 90.00 90.00 90.00
Atoms (fractional coordinates):
Tm: 0.500 0.500 0.500
Tc: 0.000 0.000 0.000
Ce: 0.000 0.500 0.000
Ce: 0.000 0.000 0.500
Ce: 0.500 0.000 0.000


Entry 6:
This record from the Alexandria database describes Ce2TmTc9 after structural relaxation. The functional is GGA-PBE.

Results
size of the total moment: 0.00 μB per formula unit
VASP energy: -109.77 eV per formula unit
DFT formation energy: -0.01 eV per atom
Fermi-level density of states: 16.2 states/eV/cell

a b c (Å): 5.212 5.212 9.692
angles (deg): 74.28 74.28 59.90
Atoms (fractional coordinates):
Ce: 0.852 0.852 0.442
Ce: 0.148 0.148 0.558
Tm: 0.000 0.000 0.000
Tc: 0.665 0.665 0.008
Tc: 0.335 0.335 0.992
Tc: 0.500 0.500 0.500
Tc: 0.417 0.417 0.242
Tc: 0.923 0.417 0.243
Tc: 0.417 0.923 0.243
Tc: 0.583 0.583 0.758
Tc: 0.583 0.077 0.757
Tc: 0.077 0.583 0.757